The following is a DFT calculation (GGA+U) of an optimized crystal structure of VClF2.

The structure in POSCAR format:
```
VClF2
1.0
-2.902 -2.928 0.615
-3.955 1.103 0.715
-2.913 -0.689 -2.900
V Cl F
1 1 2
Cartesian
-4.885 -1.257 -0.785
0.000 0.000 0.000
-2.442 -0.628 -0.393
-7.327 -1.885 -1.178
```

Summary:
ρ: 4.04 g cm⁻³
distance to the lowest polymorph of the same formula: 786 meV/atom
DOS(E_F): 0.40 states/eV per atom
spin magnetization: 2.0 μB per formula unit